A relaxed BaZn2GaO4 crystal. Source: the Alexandria database, functional PBE.

abc: 5.5561 5.5561 5.4727
angles: 120.50 120.50 90.01
Last column: nearest neighbours and their distance in Å.
Element x y z (fractional)
Zn1 0.7501 0.2501 0.5002  4 O 2.14
Zn2 0.2501 0.7501 0.5002  4 O 2.14
O1 0.4633 0.8471 0.3104  1 Ga 1.92, 2 Zn 2.14
O2 0.5366 0.5366 0.6896  1 Ga 1.92, 2 Zn 2.14
O3 0.1530 0.1530 0.6896  1 Ga 1.92, 2 Zn 2.14
O4 0.8471 0.4633 0.3104  1 Ga 1.92, 2 Zn 2.14
Ba1 0.0001 0.0001 0.0003  4 O 2.69
Ga1 0.5000 0.5000 0.0001  4 O 1.92

Mass density in g/cm³: 5.67
VASP energy in eV per atom: -5.05
SG: I-42m (121)